Entry 1:
5
Lattice="-4.260 -2.556 -2.431 3.522 -3.282 -2.723 -0.184 -3.645 4.156" Properties=species:S:1:pos:R:3 comment="Na3RePb | Alexandria | PBEsol | optimized geometry" e_form_mev_per_atom=1585.1 n_ef_per_ev_cell=6.50 energy_ev_per_fu=-13.6 volume_a3_per_cell=169.2 pbc="T T T"
Pb -0.461 -4.741 -0.499
Re 0.000 0.000 0.000
Na 1.761 -1.641 -1.361
Na -0.092 -1.823 2.078
Na -2.130 -1.278 -1.215



Entry 2:
5
Lattice="-1.083 -4.693 -2.034 5.069 -0.709 -1.064 0.709 -2.289 4.904" Properties=species:S:1:pos:R:3 comment="NaReSnPb2 | Alexandria | PBEsol | optimized geometry" e_form_mev_per_atom=920.4 n_ef_per_ev_cell=5.43 energy_ev_per_fu=-22.4 volume_a3_per_cell=149.2 pbc="T T T"
Pb 2.535 -0.355 -0.532
Pb -0.542 -2.347 -1.017
Re 0.000 0.000 0.000
Sn 2.348 -3.846 0.904
Na 0.355 -1.144 2.452



Entry 3:
5
Lattice="-0.674 -0.643 -4.507 -1.125 -5.204 0.911 -5.223 1.235 0.605" Properties=species:S:1:pos:R:3 comment="Na2RePbW | Alexandria | PBEsol | optimized geometry" e_form_mev_per_atom=1660.3 n_ef_per_ev_cell=4.15 energy_ev_per_fu=-25.6 volume_a3_per_cell=134.3 pbc="T T T"
Pb -3.511 -2.306 -1.496
Re 0.000 0.000 0.000
W -0.337 -0.322 -2.254
Na -2.612 0.617 0.302
Na -0.562 -2.602 0.455



Entry 4:
5
Lattice="-2.812 3.144 -0.245 -2.069 -1.596 3.320 5.955 2.672 2.311" Properties=species:S:1:pos:R:3 comment="NaRh2Pb2 | Alexandria | PBEsol | optimized geometry" e_form_mev_per_atom=25.3 e_above_lowest_polymorph_ev_per_fu=0.319 n_ef_per_ev_cell=2.17 energy_ev_per_fu=-25.5 volume_a3_per_cell=111.5 pbc="T T T"
Pb 2.650 2.598 2.902
Pb -1.576 1.621 2.484
Na -4.881 1.548 3.076
Rh 0.723 0.925 3.585
Rh 0.351 3.295 1.802



Number 3 is which compound?
Na2RePbW